## BaMn2 (GGA-PBE)

Data for a relaxed structure of BaMn2.

The energy of formation is 0.893 eV/atom.

The space group is Cmcm (No. 63) and the conventional cell measures 5.645, 16.355 and 3.335 Å, with angles of 90.00, 90.00 and 90.00 degrees. The inequivalent atoms are Ba at (0.000, 0.112, 0.250), Mn at (0.000, 0.293, 0.750) and Mn at (0.000, 0.433, 0.250).

## LaBAs3 (GGA-PBE)

Data for a relaxed structure of LaBAs3.

The energy of formation is 1.535 eV/atom. As for the energy relative to the lowest polymorph listed for this composition: 1574 meV per atom.

The space group is Pm-3m (No. 221) and the conventional cell measures 5.648, 5.648 and 5.648 Å, with angles of 90.00, 90.00 and 90.00 degrees. The inequivalent atoms are La at (0.000, 0.000, 0.000), B at (0.500, 0.500, 0.500) and As at (0.000, 0.000, 0.500).

## AlFeRu2 (GGA-PBE)

Data for a relaxed structure of AlFeRu2.

The energy of formation is -0.082 eV/atom.

The space group is Pmmm (No. 47) and the conventional cell measures 2.939, 4.127 and 4.469 Å, with angles of 90.00, 90.00 and 90.00 degrees. The inequivalent atoms are Al at (0.000, 0.000, 0.000), Fe at (0.500, 0.000, 0.500), Ru at (0.000, 0.500, 0.500) and Ru at (0.500, 0.500, 0.000).

## TaMnH2 (GGA-PBE)

Data for a relaxed structure of TaMnH2.

As for the energy relative to the lowest polymorph listed for this composition: 61 meV per atom.

The space group is I-42d (No. 122) and the conventional cell measures 3.991, 3.991 and 8.744 Å, with angles of 90.00, 90.00 and 90.00 degrees. The inequivalent atoms are Ta at (0.000, 0.000, 0.000), Mn at (0.000, 0.000, 0.500) and H at (0.195, 0.250, 0.625).

## PmCuGe3 (GGA-PBE)

Data for a relaxed structure of PmCuGe3.

The energy of formation is -0.351 eV/atom. As for the energy relative to the lowest polymorph listed for this composition: 73 meV per atom.

The space group is I4mm (No. 107) and the conventional cell measures 4.579, 4.579 and 9.356 Å, with angles of 90.00, 90.00 and 90.00 degrees. The inequivalent atoms are Pm at (0.000, 0.000, 0.000), Cu at (0.000, 0.000, 0.645), Ge at (0.000, 0.000, 0.390) and Ge at (0.000, 0.500, 0.250).

## CdTe3Se (GGA-PBE)

Data for a relaxed structure of CdTe3Se.

The calculation puts the formation energy from raw total energies at 2.17 eV per formula unit. As for the energy relative to the lowest polymorph listed for this composition: 0 meV per atom.

The space group is Pm-3m (No. 221) and the conventional cell measures 5.488, 5.488 and 5.488 Å, with angles of 90.00, 90.00 and 90.00 degrees. The inequivalent atoms are Cd at (0.000, 0.000, 0.000), Te at (0.000, 0.500, 0.500) and Se at (0.500, 0.500, 0.500).

## CaSb2HI (GGA-PBE)

Data for a relaxed structure of CaSb2HI.

As for the energy relative to the lowest polymorph listed for this composition: 0 meV per atom.

The space group is P4/mmm (No. 123) and the conventional cell measures 4.472, 4.472 and 6.590 Å, with angles of 90.00, 90.00 and 90.00 degrees. The inequivalent atoms are Ca at (0.000, 0.000, 0.000), Sb at (0.000, 0.500, 0.500), H at (0.500, 0.500, 0.500) and I at (0.500, 0.500, 0.000).

## MnZn4 (GGA-PBE)

Data for a relaxed structure of MnZn4.

The energy of formation is 0.210 eV/atom. As for the energy relative to the lowest polymorph listed for this composition: 163 meV per atom.

The space group is I4/mmm (No. 139) and the conventional cell measures 3.587, 3.587 and 12.324 Å, with angles of 90.00, 90.00 and 90.00 degrees. The inequivalent atoms are Mn at (0.000, 0.000, 0.000), Zn at (0.000, 0.000, 0.403) and Zn at (0.000, 0.500, 0.250).

Electronic total energy: -5.8606, -3.5760, -7.7716, -6.9205, -4.8910, -2.3315, -3.2190, -2.6433 (eV per atom)
Theoretical density: 5.33, 3.45, 8.73, 11.34, 7.22, 5.77, 5.19, 6.63 (g/cm³)